[1]
NpPaPb2: relaxed, PBE.

```
NpPaPb2
1.0
4.862 0.000 0.000
0.000 4.862 0.000
0.000 0.000 4.661
Np Pa Pb
1 1 2
Direct
0.000 0.000 0.000 Np
0.500 0.500 0.000 Pa
0.000 0.500 0.500 Pb
0.500 0.000 0.500 Pb
```

Values from the calculation:
Calculated formation energy   0.214 eV/atom
N(E_F)   15.16 states/eV/f.u.
Space-group type   No. 123
Electronic total energy   -7.25 eV/atom

---

[2]
NpPaPb: relaxed, PBE.

```
NpPaPb
1.0
-1.586 1.586 7.648
1.586 -1.586 7.648
1.586 1.586 -7.648
Np Pa Pb
1 1 1
Direct
0.000 0.000 0.000 Np
0.655 0.655 0.000 Pa
0.329 0.329 0.000 Pb
```

Values from the calculation:
Calculated formation energy   0.313 eV/atom
N(E_F)   8.42 states/eV/f.u.
E above lowest polymorph   0.000 eV/atom
Space-group type   No. 107
Electronic total energy   -8.40 eV/atom

---

[3]
NpPa2Pb: relaxed, PBE.

```
NpPa2Pb
1.0
4.699 0.000 0.000
0.000 4.699 0.000
0.000 0.000 4.547
Np Pa Pb
1 2 1
Direct
0.000 0.000 0.000 Np
0.000 0.500 0.500 Pa
0.500 0.000 0.500 Pa
0.500 0.500 0.000 Pb
```

Values from the calculation:
Calculated formation energy   0.174 eV/atom
N(E_F)   12.91 states/eV/f.u.
E above lowest polymorph   0.000 eV/atom
Space-group type   No. 123
Electronic total energy   -8.74 eV/atom

---

[4]
NpPa2Pb: relaxed, PBE.

```
NpPa2Pb
1.0
3.828 0.000 0.000
0.000 3.828 0.000
0.000 0.000 6.790
Np Pa Pb
1 2 1
Direct
0.000 0.000 0.000 Np
0.500 0.500 0.222 Pa
0.500 0.500 0.778 Pa
0.000 0.000 0.500 Pb
```

Values from the calculation:
Calculated formation energy   0.256 eV/atom
N(E_F)   9.25 states/eV/f.u.
E above lowest polymorph   0.081 eV/atom
Space-group type   No. 123
Electronic total energy   -8.65 eV/atom

---

[5]
NpPaPb: relaxed, PBE.

```
NpPaPb
1.0
-2.707 3.164 4.338
2.707 -3.164 4.338
2.707 3.164 -4.338
Np Pa Pb
2 2 2
Direct
0.142 0.142 0.000 Np
0.858 0.858 0.000 Np
0.340 0.840 0.500 Pa
0.660 0.160 0.500 Pa
0.253 0.500 0.753 Pb
0.747 0.500 0.247 Pb
```

Values from the calculation:
Calculated formation energy   0.366 eV/atom
N(E_F)   8.28 states/eV/f.u.
E above lowest polymorph   0.053 eV/atom
Space-group type   No. 71
Electronic total energy   -8.35 eV/atom

---

[6]
NpPaPd4: relaxed, PBE.

```
NpPaPd4
1.0
0.000 3.839 3.839
3.839 0.000 3.839
3.839 3.839 0.000
Np Pa Pd
1 1 4
Direct
0.000 0.000 0.000 Np
0.250 0.250 0.250 Pa
0.125 0.625 0.625 Pd
0.625 0.125 0.625 Pd
0.625 0.625 0.125 Pd
0.625 0.625 0.625 Pd
```

Values from the calculation:
Calculated formation energy   -0.422 eV/atom
N(E_F)   12.92 states/eV/f.u.
Space-group type   No. 216
Electronic total energy   -7.62 eV/atom